# 1
{
  "formula": "AsP2HCl",
  "functional": "PBE",
  "state": "relaxed",
  "e_tot_ev_per_fu": -16.8,
  "space_group": "P4/mmm (123)",
  "magmom_total_mub_per_fu": 0.0,
  "lattice": [[-1.885, 0.150, 3.272], [-0.756, -3.693, -0.266], [4.508, -1.113, 2.648]],
  "species": ["P", "P", "As", "Cl", "H"],
  "fractional_positions": [[0.000, 0.500, 0.000], [0.500, 0.000, 0.000], [0.500, 0.500, 0.500], [0.000, 0.000, 0.500], [0.000, 0.000, 0.000]]
}

=====

# 2
{
  "formula": "Li2Pm2HoSn2",
  "functional": "PBE",
  "state": "relaxed",
  "e_tot_ev_per_fu": -29.1,
  "space_group": "R-3m (166)",
  "e_form_kj_per_mol_atoms": -44.1,
  "magmom_total_mub_per_fu": 0.0,
  "lattice": [[-1.221, -0.467, 4.602], [1.588, -3.738, 2.528], [7.475, 3.369, 4.812]],
  "species": ["Pm", "Pm", "Li", "Li", "Sn", "Sn", "Ho"],
  "fractional_positions": [[0.128, 0.128, 0.617], [0.872, 0.872, 0.383], [0.395, 0.395, 0.816], [0.605, 0.605, 0.184], [0.267, 0.267, 0.199], [0.733, 0.733, 0.801], [0.000, 0.000, 0.000]]
}

=====

Number 1: volume 76 Å³/cell. Number 2: volume 180 Å³/cell.